(1)
## Ta3Pb2 (PBE-GGA)

Data for Ta3Pb2 after structural relaxation.

Cell: 4.7481 4.7481 5.8632 Å, 90.00 90.00 120.00°
Closest atoms and distances in Å follow each position.
Atoms (fractional coordinates):
Ta: 0.0000 0.0000 0.0000  6 Pb 2.98, 6 Ta 3.30
Ta: 0.3333 0.6667 0.3130  5 Pb 2.82-3.00
Ta: 0.6667 0.3333 0.6870  5 Pb 2.82-3.00
Pb: 0.3333 0.6667 0.8009  8 Ta 2.82-3.00
Pb: 0.6667 0.3333 0.1991  8 Ta 2.82-3.00

Results
Volume   22.89 Å³ per atom
SG   P-3m1, No. 164
Formation energy   1.0804 eV/atom
Spin magnetization   0.0000 μB/atom
E above lowest polymorph   574 meV per atom



(2)
## BaLiAl2Ru (PBE-GGA)

Data for BaLiAl2Ru after structural relaxation.

Cell: 4.8011 4.8011 5.1758 Å, 90.00 90.00 90.00°
Closest atoms and distances in Å follow each position.
Atoms (fractional coordinates):
Ba: 0.0000 0.0000 0.0000  4 Li 3.39, 8 Al 3.53
Li: 0.5000 0.5000 0.0000  2 Ru 2.59
Al: 0.0000 0.5000 0.5000  2 Ru 2.40
Al: 0.5000 0.0000 0.5000  2 Ru 2.40
Ru: 0.5000 0.5000 0.5000  4 Al 2.40, 2 Li 2.59

Results
Volume   23.86 Å³ per atom
SG   P4/mmm, No. 123
Formation energy   -0.2230 eV/atom
Spin magnetization   0.0000 μB/atom



(3)
## CsLiGe2N (PBE-GGA)

Data for CsLiGe2N after structural relaxation.

Cell: 4.4271 4.4271 5.9414 Å, 90.00 90.00 90.00°
Closest atoms and distances in Å follow each position.
Atoms (fractional coordinates):
Cs: 0.0000 0.0000 0.0000  2 N 2.97, 4 Li 3.13
Li: 0.5000 0.5000 0.0000  4 Cs 3.13
Ge: 0.0000 0.5000 0.5000  2 N 2.21
Ge: 0.5000 0.0000 0.5000  2 N 2.21
N: 0.0000 0.0000 0.5000  4 Ge 2.21

Results
Volume   23.29 Å³ per atom
SG   P4/mmm, No. 123
ΔE_f (raw)   702 meV per atom
Spin magnetization   0.0000 μB/atom



For each record above, in turn, the calculated energy values are -7.51; -4.34; -3.36 eV/atom.